[1]
VASP calculation (PBE) on K2MgCl after structural relaxation.

```
data_K2MgCl
_chemical_formula_sum 'K4 Mg2 Cl2'
_cell_length_a 4.217
_cell_length_b 7.769
_cell_length_c 11.409
_cell_angle_alpha 90.00
_cell_angle_beta 90.00
_cell_angle_gamma 90.00
_symmetry_space_group_name_H-M 'I m m m'
_symmetry_Int_Tables_number 71
_symmetry_space_group_name_Hall '-I 2 2'
loop_
_atom_site_label
_atom_site_type_symbol
_atom_site_fract_x
_atom_site_fract_y
_atom_site_fract_z
K1 K 0.000 0.000 0.188
Mg1 Mg 0.000 0.500 0.000
Cl1 Cl 0.000 0.500 0.500
```

**Relative energy among the computed polymorphs**: 159 meV per atom
**Crystal system**: orthorhombic

[2]
VASP calculation (PBE) on KMgCl2 after structural relaxation.

```
data_KMgCl2
_chemical_formula_sum 'K2 Mg2 Cl4'
_cell_length_a 13.081
_cell_length_b 4.161
_cell_length_c 4.527
_cell_angle_alpha 90.00
_cell_angle_beta 92.32
_cell_angle_gamma 90.00
_symmetry_space_group_name_H-M 'C 1 m 1'
_symmetry_Int_Tables_number 8
_symmetry_space_group_name_Hall 'C -2y'
loop_
_atom_site_label
_atom_site_type_symbol
_atom_site_fract_x
_atom_site_fract_y
_atom_site_fract_z
K1 K 0.000 0.000 0.000
Mg1 Mg 0.250 0.500 0.455
Cl1 Cl 0.066 0.500 0.509
Cl2 Cl 0.262 0.000 0.124
```

**Relative energy among the computed polymorphs**: 35 meV per atom
**Crystal system**: monoclinic

[3]
VASP calculation (PBE) on KMgCl2 after structural relaxation.

```
data_KMgCl2
_chemical_formula_sum 'K3 Mg3 Cl6'
_cell_length_a 4.3491
_cell_length_b 4.3491
_cell_length_c 25.3516
_cell_angle_alpha 90.00
_cell_angle_beta 90.00
_cell_angle_gamma 120.00
_symmetry_space_group_name_H-M 'R -3 m'
_symmetry_Int_Tables_number 166
_symmetry_space_group_name_Hall '-R 3 2"'
loop_
_atom_site_label
_atom_site_type_symbol
_atom_site_fract_x
_atom_site_fract_y
_atom_site_fract_z
K1 K 0.0000 0.0000 0.0000
Mg1 Mg 0.0000 0.0000 0.5000
Cl1 Cl 0.0000 0.0000 0.4056
```

**Relative energy among the computed polymorphs**: 52 meV per atom
**Crystal system**: trigonal

[4]
VASP calculation (PBE) on KMgCl2 after structural relaxation.

```
data_KMgCl2
_chemical_formula_sum 'K3 Mg3 Cl6'
_cell_length_a 3.8751
_cell_length_b 3.8751
_cell_length_c 33.1401
_cell_angle_alpha 90.00
_cell_angle_beta 90.00
_cell_angle_gamma 120.00
_symmetry_space_group_name_H-M 'R -3 m'
_symmetry_Int_Tables_number 166
_symmetry_space_group_name_Hall '-R 3 2"'
loop_
_atom_site_label
_atom_site_type_symbol
_atom_site_fract_x
_atom_site_fract_y
_atom_site_fract_z
K1 K 0.0000 0.0000 0.0000
Mg1 Mg 0.0000 0.0000 0.5000
Cl1 Cl 0.0000 0.0000 0.1271
```

**Relative energy among the computed polymorphs**: 107 meV per atom
**Crystal system**: trigonal

[5]
VASP calculation (PBE) on KMgCl after structural relaxation.

```
data_KMgCl
_chemical_formula_sum 'K4 Mg4 Cl4'
_cell_length_a 8.010
_cell_length_b 8.010
_cell_length_c 8.010
_cell_angle_alpha 90.00
_cell_angle_beta 90.00
_cell_angle_gamma 90.00
_symmetry_space_group_name_H-M 'F -4 3 m'
_symmetry_Int_Tables_number 216
_symmetry_space_group_name_Hall 'F -4 2 3'
loop_
_atom_site_label
_atom_site_type_symbol
_atom_site_fract_x
_atom_site_fract_y
_atom_site_fract_z
K1 K 0.000 0.000 0.000
Mg1 Mg 0.250 0.250 0.750
Cl1 Cl 0.000 0.000 0.500
```

**Relative energy among the computed polymorphs**: 339 meV per atom
**Crystal system**: cubic

[6]
VASP calculation (PBE) on KMgCl2 after structural relaxation.

```
data_KMgCl2
_chemical_formula_sum 'K3 Mg3 Cl6'
_cell_length_a 3.8509
_cell_length_b 3.8509
_cell_length_c 36.5592
_cell_angle_alpha 90.00
_cell_angle_beta 90.00
_cell_angle_gamma 120.00
_symmetry_space_group_name_H-M 'R 3 m'
_symmetry_Int_Tables_number 160
_symmetry_space_group_name_Hall 'R 3 -2"'
loop_
_atom_site_label
_atom_site_type_symbol
_atom_site_fract_x
_atom_site_fract_y
_atom_site_fract_z
K1 K 0.0000 0.0000 0.0000
Mg1 Mg 0.0000 0.0000 0.8334
Cl1 Cl 0.0000 0.0000 0.2027
Cl2 Cl 0.0000 0.0000 0.4641
```

**Relative energy among the computed polymorphs**: 108 meV per atom
**Crystal system**: trigonal

[7]
VASP calculation (PBE) on K2MgCl after structural relaxation.

```
data_K2MgCl
_chemical_formula_sum 'K2 Mg1 Cl1'
_cell_length_a 3.820
_cell_length_b 3.820
_cell_length_c 9.648
_cell_angle_alpha 90.00
_cell_angle_beta 90.00
_cell_angle_gamma 90.00
_symmetry_space_group_name_H-M 'P 4/m m m'
_symmetry_Int_Tables_number 123
_symmetry_space_group_name_Hall '-P 4 2'
loop_
_atom_site_label
_atom_site_type_symbol
_atom_site_fract_x
_atom_site_fract_y
_atom_site_fract_z
K1 K 0.000 0.000 0.196
Mg1 Mg 0.500 0.500 0.500
Cl1 Cl 0.500 0.500 0.000
```

**Relative energy among the computed polymorphs**: 0 meV per atom
**Crystal system**: tetragonal

[8]
VASP calculation (PBE) on KMg4Cl after structural relaxation.

```
data_KMg4Cl
_chemical_formula_sum 'K4 Mg16 Cl4'
_cell_length_a 9.033
_cell_length_b 9.033
_cell_length_c 9.033
_cell_angle_alpha 90.00
_cell_angle_beta 90.00
_cell_angle_gamma 90.00
_symmetry_space_group_name_H-M 'F -4 3 m'
_symmetry_Int_Tables_number 216
_symmetry_space_group_name_Hall 'F -4 2 3'
loop_
_atom_site_label
_atom_site_type_symbol
_atom_site_fract_x
_atom_site_fract_y
_atom_site_fract_z
K1 K 0.000 0.000 0.000
Mg1 Mg 0.125 0.125 0.625
Cl1 Cl 0.250 0.250 0.250
```

**Crystal system**: cubic

| no. | raw formation energy (eV per atom) |
| --- | --- |
| 1 | -0.6273 |
| 2 | -1.3470 |
| 3 | -1.3291 |
| 4 | -1.2740 |
| 5 | -0.4895 |
| 6 | -1.2735 |
| 7 | -0.7863 |
| 8 | -0.0293 |